Run i
Sm3Cd3Hg2 | GGA-PBE | optimized geometry

POSCAR file:
```
Sm3Cd3Hg2
1.0
-0.0799 1.8173 3.5083
-0.9383 -7.0129 3.6113
7.2990 2.8483 -1.3091
Cd Sm Hg
3 3 2
Cartesian
1.6544 0.6456 -0.2967
-0.2127 -1.5896 0.8185
4.9190 -3.2206 1.7804
2.4841 -0.7440 2.6677
4.3626 2.6267 0.9646
-0.6059 -3.3213 3.9324
1.8075 -3.7258 1.9712
4.5532 -0.4387 0.3310
```

Output
Space group: P-62m, No. 189

=====

Run ii
Sm3Cd3Hg2 | GGA-PBE | optimized geometry

POSCAR file:
```
Sm3Cd3Hg2
1.0
4.6240 0.0000 0.0000
0.0000 4.9927 -0.2193
-2.3120 -2.1253 9.1025
Sm Cd Hg
3 3 2
Cartesian
0.0000 0.0000 0.0000
2.3120 0.2704 6.5150
0.0000 2.5971 2.3682
0.0000 2.7727 6.5304
2.3120 2.4964 -0.1097
2.3120 0.0948 2.3527
0.0000 0.1830 4.3906
2.3120 2.6845 4.4926
```

Output
Space group: C2/m, No. 12

=====

Most stable: run i

=====

Run i
Sm8Cd2Hg | GGA-PBE | optimized geometry

POSCAR file:
```
Sm8Cd2Hg
1.0
-2.4469 3.8687 2.9682
-2.3545 4.1037 -7.2897
-3.6235 -7.6516 1.9720
Sm Cd Hg
8 2 1
Cartesian
-5.2057 3.7631 -4.1824
-1.7487 -0.7940 -0.4067
-6.0546 -1.8391 2.4196
-2.3703 2.1599 -4.7692
-3.1620 2.7305 -1.1517
-6.6763 1.1147 -1.9429
-5.2630 -2.4097 -1.1979
-3.2192 -3.4423 1.8328
-3.6608 -0.0737 -2.9218
-4.7642 0.3945 0.5722
-1.2234 1.9343 1.4841
```

Output
Space group: C2/m, No. 12

=====

Run ii
Sm8Cd2Hg | GGA-PBE | optimized geometry

POSCAR file:
```
Sm8Cd2Hg
1.0
-0.6996 -0.7985 -5.2145
-1.8648 -6.8999 1.3067
-7.3867 5.3536 2.8866
Cd Sm Hg
2 8 1
Cartesian
-5.7495 0.7150 -2.0534
-4.2016 -3.0598 1.0323
-7.3318 0.3138 0.9357
-2.6192 -2.6587 -1.9568
-6.3728 -2.2489 -1.5159
-4.6820 -5.3848 -1.2626
-5.2691 3.0400 0.2414
-8.1914 2.6961 -2.0291
-3.5783 -0.0959 0.4948
-1.7596 -5.0409 1.0080
-0.3498 -0.3992 -2.6073
```

Output
Space group: C2/m, No. 12

=====

Most stable: run i

=====

Run i
SmCdHg3 | GGA-PBE | optimized geometry

POSCAR file:
```
SmCdHg3
1.0
4.8388 -0.6715 1.4757
0.6442 5.0961 0.2078
-0.3350 -0.3456 9.6259
Hg Sm Cd
6 2 2
Cartesian
1.7032 4.0582 2.6113
4.5755 0.8331 9.2348
0.8460 1.5118 4.1580
2.4779 3.7200 8.6363
3.8218 1.1718 3.1680
3.5664 3.7264 5.0771
0.6029 4.0547 6.1200
1.9465 1.5153 0.6494
2.6973 1.1697 6.7635
4.6899 3.7282 1.4813
```

Output
Space group: P2_1/m, No. 11

=====

Run ii
SmCdHg3 | GGA-PBE | optimized geometry

POSCAR file:
```
SmCdHg3
1.0
-0.1400 4.9950 1.3787
-3.8038 -0.0991 -0.0272
1.9374 -4.8681 12.9847
Hg Cd Sm
6 2 2
Cartesian
-0.0682 0.1532 8.9977
-1.9027 -2.1227 7.6679
-0.1037 2.1505 6.6683
-1.9012 -3.5243 12.5734
-0.1051 3.5521 1.7629
-1.9381 -0.1254 5.3385
-0.0357 0.6405 2.6613
-1.9707 -0.6127 11.6750
0.0016 -2.8289 10.0992
-2.0080 2.8567 4.2371
```

Output
Space group: C2/m, No. 12

=====

Most stable: run i

=====

Run i
SmCd2Hg3 | GGA-PBE | optimized geometry

POSCAR file:
```
SmCd2Hg3
1.0
-0.8523 2.0406 5.2905
-1.3340 -5.9984 2.0987
8.5896 1.8403 0.6740
Hg Sm Cd
6 2 4
Cartesian
5.3650 1.2237 1.9460
4.7061 -1.7390 2.9826
1.0384 -3.3413 6.1172
2.0129 0.1845 1.8068
4.3904 -2.3021 6.2564
1.6973 -0.3786 5.0806
1.7390 -2.8722 2.9417
4.6643 0.7546 5.1215
-0.9827 -4.4187 1.5460
-0.3513 -1.5797 0.5527
-0.7775 -0.5594 3.1979
-1.4088 -3.3984 4.1912
```

Output
Space group: Cmcm, No. 63

=====

Run ii
SmCd2Hg3 | GGA-PBE | optimized geometry

POSCAR file:
```
SmCd2Hg3
1.0
4.4335 0.0000 0.0000
0.0000 4.7820 0.0000
0.0000 0.0000 13.9847
Cd Hg Sm
4 6 2
Cartesian
0.0010 2.3910 2.4171
4.4325 0.0000 9.4094
4.4325 0.0000 4.5752
0.0010 2.3910 11.5676
2.2151 0.0000 6.9923
2.2184 2.3910 0.0000
2.2180 0.0000 2.3091
2.2155 2.3910 9.3015
2.2180 0.0000 11.6755
2.2155 2.3910 4.6832
4.4319 2.3910 6.9923
0.0016 0.0000 0.0000
```

Output
Space group: Cmmm, No. 65

=====

Most stable: run ii

=====

Run i
Sm2CdHg6 | GGA-PBE | optimized geometry

POSCAR file:
```
Sm2CdHg6
1.0
-0.0401 2.3097 -4.6427
-1.8288 -4.8165 0.5157
-8.6701 3.4837 1.8079
Cd Hg Sm
1 6 2
Cartesian
-4.3351 1.7418 0.9040
-9.1328 0.4150 -2.6107
-8.6966 3.1653 -1.2463
-1.8424 -2.1885 -1.0728
-5.8461 2.0257 -1.8378
-1.4062 0.5618 0.2916
-4.6929 -1.0489 -0.4813
-2.9846 0.8782 -2.4334
-7.5544 0.0986 0.1142
```

Output
Space group: C2/m, No. 12

=====

Run ii
Sm2CdHg6 | GGA-PBE | optimized geometry

POSCAR file:
```
Sm2CdHg6
1.0
-4.3575 1.1379 3.5244
-4.3424 -2.6868 -4.4609
-1.5336 -6.5991 0.2751
Hg Cd Sm
6 1 2
Cartesian
-4.0784 -0.9401 1.6422
-4.7486 -3.8797 1.7653
-6.0046 -2.1303 -0.3524
-6.1552 -7.2078 -2.3036
-5.4849 -4.2682 -2.4267
-4.2289 -6.0176 -0.3090
0.0000 0.0000 0.0000
-7.4493 -5.2629 0.0706
-2.7843 -2.8850 -0.7319
```

Output
Space group: C2/m, No. 12

=====

Most stable: run i

=====

Run i
SmCdSnHg | GGA-PBE | optimized geometry

POSCAR file:
```
SmCdSnHg
1.0
4.4596 0.0000 0.0000
0.0000 4.6028 0.0000
0.0000 0.0000 4.8892
Sm Sn Cd Hg
1 1 1 1
Cartesian
0.0000 0.0000 0.0000
2.2298 2.3014 0.0000
0.0000 2.3014 2.4446
2.2298 0.0000 2.4446
```

Output
Space group: Pmmm, No. 47

=====

Run ii
SmCdSnHg | GGA-PBE | optimized geometry

POSCAR file:
```
SmCdSnHg
1.0
5.2605 0.0000 0.0000
2.6302 4.5557 0.0000
2.6302 1.5186 4.2952
Hg Cd Sm Sn
1 1 1 1
Cartesian
5.2605 3.0371 2.1476
7.8907 4.5557 3.2214
2.6302 1.5186 1.0738
0.0000 0.0000 0.0000
```

Output
Space group: F-43m, No. 216

=====

Most stable: run i